[1]
Entry from Alexandria via LeMat-Bulk: a geometry-optimized CaAs2BrO structure (PBE).

Properties
* raw formation energy: -0.573 eV/atom
* ΔE to the lowest computed polymorph: 0.000 eV/atom
* density of states at the Fermi level: 2.63 states/eV per cell

Cell: 4.1900 4.1900 6.3404 Å, 90.00 90.00 90.00°
Closest atoms and distances in Å follow each position.
Space group P4/mmm (No. 123)
One atom of each set of equivalent atoms:
Ca (0.0000, 0.0000, 0.0000) [1 per cell]  4 Br 2.96
As (0.0000, 0.5000, 0.5000) [2 per cell]  2 O 2.10
Br (0.5000, 0.5000, 0.0000) [1 per cell]  4 Ca 2.96, 2 O 3.17
O (0.5000, 0.5000, 0.5000) [1 per cell]  4 As 2.10

=====

[2]
Entry from Alexandria via LeMat-Bulk: a geometry-optimized NdErGa2Pt2 structure (PBE).

Properties
* calculated formation energy: -1.055 eV/atom
* density of states at the Fermi level: 3.43 states/eV per cell

Cell: 4.4793 4.4793 7.1277 Å, 90.00 90.00 120.00°
Closest atoms and distances in Å follow each position.
Space group P-3m1 (No. 164)
One atom of each set of equivalent atoms:
Nd (0.0000, 0.0000, 0.0000) [1 per cell]  6 Ga 3.24, 6 Pt 3.25, 2 Er 3.56
Er (0.0000, 0.0000, 0.5000) [1 per cell]  6 Pt 3.04, 6 Ga 3.05
Ga (0.3333, 0.6667, 0.2738) [2 per cell]  3 Pt 2.59
Pt (0.3333, 0.6667, 0.7247) [2 per cell]  3 Ga 2.59

=====

[3]
Entry from Alexandria via LeMat-Bulk: a geometry-optimized HoZn5Cu2 structure (PBE).

Properties
* calculated formation energy: -0.198 eV/atom
* density of states at the Fermi level: 5.93 states/eV per cell

Cell: 3.8542 7.2179 9.4211 Å, 90.00 90.00 90.00°
Closest atoms and distances in Å follow each position.
Space group Immm (No. 71)
One atom of each set of equivalent atoms:
Ho (0.0000, 0.0000, 0.0000) [2 per cell]  4 Cu 2.98, 8 Zn 3.27
Zn (0.0000, 0.1885, 0.3540) [8 per cell]  3 Cu 2.42-2.59
Zn (0.0000, 0.5000, 0.0000) [2 per cell]  2 Cu 2.44
Cu (0.0000, 0.5000, 0.2585) [4 per cell]  7 Zn 2.42-2.59

=====

[4]
Entry from Alexandria via LeMat-Bulk: a geometry-optimized BaSi2Se structure (PBE).

Properties
* raw formation energy: 0.378 eV/atom
* ΔE to the lowest computed polymorph: 0.841 eV/atom
* density of states at the Fermi level: 10.18 states/eV per cell

Cell: 7.3831 7.3831 7.3831 Å, 90.00 90.00 90.00°
Closest atoms and distances in Å follow each position.
Space group Fm-3m (No. 225)
One atom of each set of equivalent atoms:
Ba (0.0000, 0.0000, 0.0000) [4 per cell]  8 Si 3.20
Si (0.2500, 0.2500, 0.2500) [8 per cell]  4 Ba 3.20, 4 Se 3.20
Se (0.0000, 0.0000, 0.5000) [4 per cell]  8 Si 3.20

=====

[5]
Entry from Alexandria via LeMat-Bulk: a geometry-optimized ErTmCuAu structure (PBE).

Properties
* calculated formation energy: -0.576 eV/atom
* density of states at the Fermi level: 10.21 states/eV per cell

Cell: 7.0096 7.0096 7.0096 Å, 90.00 90.00 90.00°
Closest atoms and distances in Å follow each position.
Space group F-43m (No. 216)
One atom of each set of equivalent atoms:
Er (0.0000, 0.0000, 0.0000) [4 per cell]  4 Cu 3.04, 4 Au 3.04
Tm (0.0000, 0.0000, 0.5000) [4 per cell]  4 Cu 3.04, 4 Au 3.04
Cu (0.2500, 0.2500, 0.2500) [4 per cell]  4 Er 3.04, 4 Tm 3.04
Au (0.2500, 0.2500, 0.7500) [4 per cell]  4 Er 3.04, 4 Tm 3.04

=====

[6]
Entry from Alexandria via LeMat-Bulk: a geometry-optimized NaAcGeS4 structure (PBE).

Properties
* raw formation energy: -1.199 eV/atom
* density of states at the Fermi level: 0.00 states/eV per cell

Cell: 6.7870 6.7586 8.0702 Å, 90.00 108.87 90.00°
Closest atoms and distances in Å follow each position.
Space group P2_1/m (No. 11)
One atom of each set of equivalent atoms:
Na (0.2241, 0.2500, 0.0527) [2 per cell]  6 S 2.94-3.16
Ac (0.2602, 0.2500, 0.5643) [2 per cell]  6 S 2.91-3.08
Ge (0.2377, 0.7500, 0.8128) [2 per cell]  4 S 2.19-2.26
S (0.0137, 0.0023, 0.7424) [4 per cell]  1 Ge 2.23
S (0.4161, 0.7500, 0.6196) [2 per cell]  1 Ge 2.26
S (0.4271, 0.7500, 0.0894) [2 per cell]  1 Ge 2.19

=====

[7]
Entry from Alexandria via LeMat-Bulk: a geometry-optimized Ta6Ti2W structure (PBE).

Properties
* ΔE to the lowest computed polymorph: 0.000 eV/atom
* calculated formation energy: 0.010 eV/atom
* density of states at the Fermi level: 14.70 states/eV per cell

Cell: 4.6288 4.6288 8.5969 Å, 90.00 90.00 120.00°
Closest atoms and distances in Å follow each position.
Space group P-3m1 (No. 164)
One atom of each set of equivalent atoms:
Ta (0.0000, 0.0000, 0.1684) [2 per cell]  4 Ta 2.81-2.90, 3 Ti 2.82, 1 W 2.85
Ta (0.3333, 0.6667, 0.2706) [2 per cell]  7 Ta 2.81-2.88, 1 Ti 2.86
Ta (0.3333, 0.6667, 0.6061) [2 per cell]  3 W 2.82, 1 Ti 2.85, 4 Ta 2.88
Ti (0.3333, 0.6667, 0.9376) [2 per cell]  5 Ta 2.82-2.86, 3 Ti 2.88
W (0.0000, 0.0000, 0.5000) [1 per cell]  8 Ta 2.82-2.85

=====

[8]
Entry from Alexandria via LeMat-Bulk: a geometry-optimized LaErPd2 structure (PBE).

Properties
* ΔE to the lowest computed polymorph: 0.114 eV/atom
* calculated formation energy: -0.758 eV/atom
* density of states at the Fermi level: 7.07 states/eV per cell

Cell: 4.1904 4.1904 20.0273 Å, 90.00 90.00 120.00°
Closest atoms and distances in Å follow each position.
Space group R-3m (No. 166, hexagonal axes)
One atom of each set of equivalent atoms:
La (0.0000, 0.0000, 0.0000) [3 per cell]  6 Pd 3.02
Er (0.0000, 0.0000, 0.5000) [3 per cell]  6 Pd 2.87
Pd (0.0000, 0.0000, 0.2434) [6 per cell]  3 Er 2.87, 3 La 3.02

=====

[9]
Entry from Alexandria via LeMat-Bulk: a geometry-optimized Dy3Ge4 structure (PBE).

Properties
* calculated formation energy: -0.793 eV/atom
* density of states at the Fermi level: 4.37 states/eV per cell

Cell: 4.0705 14.2953 5.7212 Å, 90.00 110.81 90.00°
Closest atoms and distances in Å follow each position.
Space group P2_1/m (No. 11)
One atom of each set of equivalent atoms:
Dy (0.0444, 0.2500, 0.0877) [2 per cell]  7 Ge 2.90-3.18
Dy (0.3293, 0.0970, 0.6578) [4 per cell]  8 Ge 2.99-3.10
Ge (0.0000, 0.0000, 0.0000) [2 per cell]  4 Ge 2.85-2.86, 4 Dy 3.07
Ge (0.2267, 0.7500, 0.4554) [2 per cell]  2 Ge 2.61, 1 Dy 2.90
Ge (0.3816, 0.6085, 0.7637) [4 per cell]  3 Ge 2.61-2.86

=====

[10]
Entry from Alexandria via LeMat-Bulk: a geometry-optimized HoPu2Ge2Pd2 structure (PBE).

Properties
* calculated formation energy: -0.418 eV/atom
* density of states at the Fermi level: 28.29 states/eV per cell

Cell: 4.1978 4.1978 25.9432 Å, 90.00 90.00 120.00°
Closest atoms and distances in Å follow each position.
Space group R-3m (No. 166, hexagonal axes)
One atom of each set of equivalent atoms:
Ho (0.0000, 0.0000, 0.0000) [3 per cell]  6 Ge 2.98
Pu (0.0000, 0.0000, 0.1539) [6 per cell]  3 Pu 2.51
Ge (0.0000, 0.0000, 0.2663) [6 per cell]  3 Pd 2.49
Pd (0.0000, 0.0000, 0.4229) [6 per cell]  3 Ge 2.49

=====

- What is the density of states at the Fermi level in the tenth record?
  28.29 states/eV per cell

=====

- What is the density of states at the Fermi level in the third record?
  5.93 states/eV per cell

=====

- Number 1 is which compound?
  CaAs2BrO

=====

- What is the density of states at the Fermi level in the tenth record?
  28.29 states/eV per cell